Computed, not measured: a geometry-optimized V2SnC2 structure at the PBE-GGA level of DFT.

Cell and atoms, written as POSCAR:
```
V2SnC2
1.0
6.201 0.000 0.000
0.000 6.201 0.000
0.000 0.000 2.889
V Sn C
4 2 4
Direct
0.138 0.362 0.000
0.362 0.862 0.000
0.638 0.138 0.000
0.862 0.638 0.000
0.000 0.000 0.500
0.500 0.500 0.500
0.139 0.639 0.500
0.361 0.139 0.500
0.639 0.861 0.500
0.861 0.361 0.500
```

Summary:
The space group is P4/mbm. The energy is -7.482 eV per atom. The energy relative to the lowest polymorph listed for this composition is 0.435 eV/atom.

Computed, not measured: a geometry-optimized V2SnC2 structure at the PBE-GGA level of DFT.

Cell and atoms, written as POSCAR:
```
V2SnC2
1.0
3.879 0.000 0.000
0.000 3.879 0.000
0.000 0.000 9.579
V Sn C
4 2 4
Direct
0.000 0.500 0.250
0.000 0.500 0.750
0.500 0.000 0.250
0.500 0.000 0.750
0.000 0.000 0.000
0.500 0.500 0.500
0.000 0.000 0.301
0.000 0.000 0.699
0.500 0.500 0.199
0.500 0.500 0.801
```

Summary:
The space group is I4/mmm. The energy is -7.917 eV per atom. The energy relative to the lowest polymorph listed for this composition is 0.000 eV/atom.

Computed, not measured: a geometry-optimized VSn2C structure at the PBE-GGA level of DFT.

Cell and atoms, written as POSCAR:
```
VSn2C
1.0
6.801 0.000 0.000
0.000 6.801 0.000
0.000 0.000 6.354
V Sn C
4 8 4
Direct
0.000 0.000 0.000
0.000 0.500 0.250
0.500 0.000 0.750
0.500 0.500 0.500
0.183 0.250 0.625
0.250 0.683 0.875
0.250 0.817 0.375
0.317 0.250 0.125
0.683 0.750 0.125
0.750 0.183 0.375
0.750 0.317 0.875
0.817 0.750 0.625
0.000 0.000 0.500
0.000 0.500 0.750
0.500 0.000 0.250
0.500 0.500 0.000
```

Summary:
The space group is I-42d. The energy is -5.640 eV per atom.

Computed, not measured: a geometry-optimized V2SnC structure at the PBE-GGA level of DFT.

Cell and atoms, written as POSCAR:
```
V2SnC
1.0
6.367 0.000 0.000
0.000 6.367 0.000
0.000 0.000 5.698
V Sn C
8 4 4
Direct
0.151 0.250 0.125
0.250 0.651 0.375
0.250 0.849 0.875
0.349 0.250 0.625
0.651 0.750 0.625
0.750 0.151 0.875
0.750 0.349 0.375
0.849 0.750 0.125
0.000 0.000 0.500
0.000 0.500 0.750
0.500 0.000 0.250
0.500 0.500 0.000
0.000 0.000 0.000
0.000 0.500 0.250
0.500 0.000 0.750
0.500 0.500 0.500
```

Summary:
The space group is I-42d. The energy is -7.611 eV per atom.

Computed, not measured: a geometry-optimized Sn2WC structure at the PBE-GGA level of DFT.

Cell and atoms, written as POSCAR:
```
Sn2WC
1.0
6.607 0.000 0.000
0.000 6.607 0.000
0.000 0.000 6.607
Sn W C
8 4 4
Direct
0.250 0.250 0.250
0.250 0.250 0.750
0.250 0.750 0.250
0.250 0.750 0.750
0.750 0.250 0.250
0.750 0.250 0.750
0.750 0.750 0.250
0.750 0.750 0.750
0.000 0.000 0.000
0.000 0.500 0.500
0.500 0.000 0.500
0.500 0.500 0.000
0.000 0.000 0.500
0.000 0.500 0.000
0.500 0.000 0.000
0.500 0.500 0.500
```

Summary:
The space group is Fm-3m. The energy is -5.753 eV per atom. The energy relative to the lowest polymorph listed for this composition is 0.374 eV/atom.

Computed, not measured: a geometry-optimized Sn2WC structure at the PBE-GGA level of DFT.

Cell and atoms, written as POSCAR:
```
Sn2WC
1.0
6.762 0.000 0.000
0.000 6.762 0.000
0.000 0.000 6.246
Sn W C
8 4 4
Direct
0.181 0.250 0.125
0.250 0.681 0.375
0.250 0.819 0.875
0.319 0.250 0.625
0.681 0.750 0.625
0.750 0.181 0.875
0.750 0.319 0.375
0.819 0.750 0.125
0.000 0.000 0.500
0.000 0.500 0.750
0.500 0.000 0.250
0.500 0.500 0.000
0.000 0.000 0.000
0.000 0.500 0.250
0.500 0.000 0.750
0.500 0.500 0.500
```

Summary:
The space group is I-42d. The energy is -6.127 eV per atom. The energy relative to the lowest polymorph listed for this composition is 0.000 eV/atom.

Computed, not measured: a geometry-optimized YSn3C structure at the PBE-GGA level of DFT.

Cell and atoms, written as POSCAR:
```
YSn3C
1.0
4.855 0.000 0.000
0.000 4.855 0.000
0.000 0.000 4.855
Y Sn C
1 3 1
Direct
0.000 0.000 0.000
0.000 0.500 0.500
0.500 0.000 0.500
0.500 0.500 0.000
0.500 0.500 0.500
```

Summary:
The space group is Pm-3m. The energy is -4.993 eV per atom. The energy relative to the lowest polymorph listed for this composition is 0.000 eV/atom.

Computed, not measured: a geometry-optimized Y6Sn3C structure at the PBE-GGA level of DFT.

Cell and atoms, written as POSCAR:
```
Y6Sn3C
1.0
6.416 0.000 0.000
0.000 8.221 0.000
-5.944 0.000 10.304
Y Sn C
12 6 2
Direct
0.094 0.048 0.226
0.094 0.452 0.726
0.181 0.720 0.057
0.181 0.780 0.557
0.379 0.149 0.051
0.379 0.351 0.551
0.621 0.649 0.449
0.621 0.851 0.949
0.819 0.220 0.443
0.819 0.280 0.943
0.906 0.548 0.274
0.906 0.952 0.774
0.321 0.106 0.737
0.321 0.394 0.237
0.500 0.000 0.500
0.500 0.500 0.000
0.679 0.606 0.763
0.679 0.894 0.263
0.000 0.000 0.000
0.000 0.500 0.500
```

Summary:
The space group is P2_1/c. The energy is -6.553 eV per atom.

Computed, not measured: a geometry-optimized YSnC2 structure at the PBE-GGA level of DFT.

Cell and atoms, written as POSCAR:
```
YSnC2
1.0
6.039 0.000 0.000
0.000 6.039 0.000
0.000 0.000 7.204
Y Sn C
4 4 8
Direct
0.000 0.000 0.000
0.000 0.500 0.250
0.500 0.000 0.750
0.500 0.500 0.500
0.000 0.000 0.500
0.000 0.500 0.750
0.500 0.000 0.250
0.500 0.500 0.000
0.216 0.750 0.625
0.250 0.216 0.375
0.250 0.284 0.875
0.284 0.750 0.125
0.716 0.250 0.125
0.750 0.716 0.875
0.750 0.784 0.375
0.784 0.250 0.625
```

Summary:
The space group is I-42d. The energy is -6.592 eV per atom.

Computed, not measured: a geometry-optimized YSnC3 structure at the PBE-GGA level of DFT.

Cell and atoms, written as POSCAR:
```
YSnC3
1.0
4.533 0.000 0.000
0.000 4.533 0.000
0.000 0.000 4.533
Y Sn C
1 1 3
Direct
0.000 0.000 0.000
0.500 0.500 0.500
0.000 0.000 0.500
0.000 0.500 0.000
0.500 0.000 0.000
```

Summary:
The space group is Pm-3m. The energy is -5.217 eV per atom. The energy relative to the lowest polymorph listed for this composition is 0.525 eV/atom.

Computed, not measured: a geometry-optimized Y6Sn2C structure at the PBE-GGA level of DFT.

Cell and atoms, written as POSCAR:
```
Y6Sn2C
1.0
6.484 0.000 0.000
0.000 7.964 0.000
-6.251 0.000 9.667
Y Sn C
12 4 2
Direct
0.135 0.160 0.456
0.135 0.340 0.956
0.305 0.714 0.455
0.305 0.786 0.955
0.347 0.028 0.251
0.347 0.472 0.751
0.653 0.528 0.249
0.653 0.972 0.749
0.695 0.214 0.045
0.695 0.286 0.545
0.865 0.660 0.044
0.865 0.840 0.544
0.194 0.103 0.760
0.194 0.397 0.260
0.806 0.603 0.740
0.806 0.897 0.240
0.500 0.000 0.500
0.500 0.500 0.000
```

Summary:
The space group is P2_1/c. The energy is -6.713 eV per atom.

Computed, not measured: a geometry-optimized Y8SnC4 structure at the PBE-GGA level of DFT.

Cell and atoms, written as POSCAR:
```
Y8SnC4
1.0
8.733 -1.827 0.000
8.733 1.827 0.000
-7.915 0.000 8.980
Y Sn C
8 1 4
Direct
0.042 0.042 0.236
0.298 0.298 0.435
0.338 0.338 0.161
0.367 0.367 0.909
0.633 0.633 0.091
0.662 0.662 0.839
0.702 0.702 0.565
0.958 0.958 0.764
0.000 0.000 0.500
0.149 0.149 0.963
0.333 0.333 0.671
0.667 0.667 0.329
0.851 0.851 0.037
```

Summary:
The space group is C2/m. The energy is -7.467 eV per atom.